Hf6Hg3Rh: optimized geometry, PBE.

As for the formation energy: 0.086 eV per atom. As for the crystal system: monoclinic. Its raw total energy is -6.7121 eV/atom. The spin magnetization is 0.00 μB per cell.

The space group is C2/m (No. 12) and the conventional cell measures 10.021, 5.928 and 7.619 Å, with angles of 90.00, 106.69 and 90.00 degrees. The distinct sites, in fractional coordinates, are Hf at (0.138, 0.000, 0.428), Hf at (0.139, 0.243, 0.817), Hg at (0.000, 0.500, 0.500), Hg at (0.117, 0.500, 0.184) and Rh at (0.000, 0.000, 0.000).

HfHgRh2: optimized geometry, PBE.

As for the formation energy: -0.594 eV per atom. As for the crystal system: tetragonal. Its raw total energy is -6.8333 eV/atom. The spin magnetization is 0.00 μB per cell.

The space group is P4/mmm (No. 123) and the conventional cell measures 4.306, 4.306 and 3.628 Å, with angles of 90.00, 90.00 and 90.00 degrees. The distinct sites, in fractional coordinates, are Hf at (0.000, 0.000, 0.000), Hg at (0.500, 0.500, 0.000) and Rh at (0.000, 0.500, 0.500).

HfHg3Rh: optimized geometry, PBE.

As for the formation energy: 0.807 eV per atom. As for the crystal system: cubic. Its energy above the lowest structure with this stoichiometry is 0 meV/atom. Its raw total energy is -2.8353 eV/atom. The spin magnetization is 0.69 μB per cell.

The space group is Pm-3m (No. 221) and the conventional cell measures 5.079, 5.079 and 5.079 Å, with angles of 90.00, 90.00 and 90.00 degrees. The distinct sites, in fractional coordinates, are Hf at (0.000, 0.000, 0.000), Hg at (0.000, 0.500, 0.500) and Rh at (0.500, 0.500, 0.500).

Hf3HgRh: optimized geometry, PBE.

As for the formation energy: 0.236 eV per atom. As for the crystal system: cubic. Its energy above the lowest structure with this stoichiometry is 0 meV/atom. Its raw total energy is -7.2665 eV/atom. The spin magnetization is 0.00 μB per cell.

The space group is Pm-3m (No. 221) and the conventional cell measures 4.972, 4.972 and 4.972 Å, with angles of 90.00, 90.00 and 90.00 degrees. The distinct sites, in fractional coordinates, are Hf at (0.000, 0.000, 0.500), Hg at (0.500, 0.500, 0.500) and Rh at (0.000, 0.000, 0.000).

HfHg4Rh2: optimized geometry, PBE.

As for the formation energy: 0.775 eV per atom. As for the crystal system: tetragonal. Its raw total energy is -2.9198 eV/atom. The spin magnetization is 3.24 μB per cell.

The space group is I4/mmm (No. 139) and the conventional cell measures 5.387, 5.387 and 13.547 Å, with angles of 90.00, 90.00 and 90.00 degrees. The distinct sites, in fractional coordinates, are Hf at (0.000, 0.000, 0.000), Hg at (0.000, 0.000, 0.212), Hg at (0.000, 0.500, 0.000) and Rh at (0.000, 0.000, 0.411).

Hf6HgRh: optimized geometry, PBE.

As for the formation energy: 0.096 eV per atom. As for the crystal system: monoclinic. Its raw total energy is -8.3256 eV/atom. The spin magnetization is 0.00 μB per cell.

The space group is C2/m (No. 12) and the conventional cell measures 8.022, 9.702 and 5.915 Å, with angles of 90.00, 131.81 and 90.00 degrees. The distinct sites, in fractional coordinates, are Hf at (0.002, 0.234, 0.250), Hf at (0.248, 0.500, 0.255), Hg at (0.000, 0.500, 0.500) and Rh at (0.000, 0.000, 0.000).

Which formula does entry 3 have? HfHg3Rh

What did the fourth record say?
Hf3HgRh: optimized geometry, PBE.

As for the formation energy: 0.236 eV per atom. As for the crystal system: cubic. Its energy above the lowest structure with this stoichiometry is 0 meV/atom. Its raw total energy is -7.2665 eV/atom. The spin magnetization is 0.00 μB per cell.

The space group is Pm-3m (No. 221) and the conventional cell measures 4.972, 4.972 and 4.972 Å, with angles of 90.00, 90.00 and 90.00 degrees. The distinct sites, in fractional coordinates, are Hf at (0.000, 0.000, 0.500), Hg at (0.500, 0.500, 0.500) and Rh at (0.000, 0.000, 0.000).

Please write out number 5 again, unchanged.
HfHg4Rh2: optimized geometry, PBE.

As for the formation energy: 0.775 eV per atom. As for the crystal system: tetragonal. Its raw total energy is -2.9198 eV/atom. The spin magnetization is 3.24 μB per cell.

The space group is I4/mmm (No. 139) and the conventional cell measures 5.387, 5.387 and 13.547 Å, with angles of 90.00, 90.00 and 90.00 degrees. The distinct sites, in fractional coordinates, are Hf at (0.000, 0.000, 0.000), Hg at (0.000, 0.000, 0.212), Hg at (0.000, 0.500, 0.000) and Rh at (0.000, 0.000, 0.411).

Copy entry 3 word for word.
HfHg3Rh: optimized geometry, PBE.

As for the formation energy: 0.807 eV per atom. As for the crystal system: cubic. Its energy above the lowest structure with this stoichiometry is 0 meV/atom. Its raw total energy is -2.8353 eV/atom. The spin magnetization is 0.69 μB per cell.

The space group is Pm-3m (No. 221) and the conventional cell measures 5.079, 5.079 and 5.079 Å, with angles of 90.00, 90.00 and 90.00 degrees. The distinct sites, in fractional coordinates, are Hf at (0.000, 0.000, 0.000), Hg at (0.000, 0.500, 0.500) and Rh at (0.500, 0.500, 0.500).